Entry from Alexandria: P3RuN after structural relaxation (PBE-GGA).

Results
total DFT energy (no corrections)	-6.8639	eV/atom

```
P3RuN
1.0
3.9197 0.0000 0.0000
1.6983 3.7166 0.0000
0.2660 -0.1147 4.9319
P Ru N
3 1 1
Cartesian
0.0000 0.0000 0.0000
1.0328 1.2283 3.2874
2.8888 2.6953 1.4229
3.0247 0.4333 2.1606
4.8919 2.8014 3.8479
```

---

Entry from Alexandria: P3Ru2N after structural relaxation (PBE-GGA).

Results
total DFT energy (no corrections)	-7.4369	eV/atom

```
P3Ru2N
1.0
2.8395 0.0000 0.0000
0.0000 4.9155 2.7833
0.0000 -4.9155 2.7833
P Ru N
3 2 1
Cartesian
0.0000 0.0000 0.0000
0.0000 -1.5000 2.9552
0.0000 1.5000 2.9552
1.4198 -1.6810 1.0318
1.4198 1.6810 1.0318
0.0000 0.0000 3.8203
```

---

The records above yield energy relative to the elements, uncorrected values of -0.489; -1.515 eV per formula unit, respectively.
The records above yield energy above the lowest structure with this stoichiometry values of 183.6; 90.4 meV per atom, respectively.